Entry 1:
Pm4SiHgN | PBE | optimized geometry

## Properties
Raw formation energy = -707 meV per atom
DOS(E_F) = 3.63 states/eV/f.u.
Magnetic moment = 0.000 μB/cell

Cell lengths 6.8477, 15.5256, 6.8449 Å; angles 90.00, 90.00, 90.00 degrees
Space group Cmcm (No. 63)
Symmetry-distinct sites (fractional):
1 Pm 0.0000 0.0762 0.2500 x4
2 Pm 0.0000 0.4180 0.2500 x4
3 Pm 0.2500 0.2500 0.0000 x8
4 Si 0.0000 0.1180 0.7500 x4
5 Hg 0.0000 0.3860 0.7500 x4
6 N 0.0000 0.2517 0.2500 x4


Entry 2:
SrAgP2 | PBE | optimized geometry

## Properties
Raw total energy = -4.061 eV per atom
DOS(E_F) = 1.64 states/eV/f.u.
Magnetic moment = 0.000 μB/cell

Cell lengths 10.6329, 3.4357, 5.3360 Å; angles 90.00, 116.32, 90.00 degrees
Space group Cm (No. 8)
Symmetry-distinct sites (fractional):
1 Sr 0.0000 0.0000 0.0000 x2
2 Ag 0.1862 0.0000 0.6600 x2
3 P 0.2839 0.5000 0.3824 x2
4 P 0.4490 0.0000 0.4501 x2